1.
The following is a PBE calculation of an optimized crystal structure of Hg2Pt4Cl, from the Alexandria database.

abc: 4.510 4.510 14.171
angles: 90.00 90.00 90.00
Space group I4/mmm (No. 139)
One atom of each set of equivalent atoms:
1 Hg 0.000 0.000 0.146 (multiplicity 4)
2 Pt 0.000 0.000 0.331 (multiplicity 4)
3 Pt 0.000 0.500 0.000 (multiplicity 4)
4 Cl 0.000 0.000 0.500 (multiplicity 2)

Summary:
The total DFT energy (no corrections) is -3.019 eV/atom.



2.
The following is a PBE calculation of an optimized crystal structure of Tl2Cu2Te3, from the Alexandria database.

abc: 18.660 4.273 12.428
angles: 90.00 124.69 90.00
Space group C2/m (No. 12)
One atom of each set of equivalent atoms:
1 Tl 0.119 0.000 0.465 (multiplicity 4)
2 Tl 0.227 0.000 0.835 (multiplicity 4)
3 Cu 0.014 0.500 0.819 (multiplicity 4)
4 Cu 0.071 0.000 0.141 (multiplicity 4)
5 Te 0.056 0.500 0.645 (multiplicity 4)
6 Te 0.098 0.000 0.953 (multiplicity 4)
7 Te 0.153 0.500 0.284 (multiplicity 4)

Summary:
The total DFT energy (no corrections) is -3.335 eV/atom.



3.
The following is a PBE calculation of an optimized crystal structure of Na2Sr6Rh, from the Alexandria database.

abc: 14.550 8.403 8.403
angles: 90.00 125.28 90.00
Space group C2/m (No. 12)
One atom of each set of equivalent atoms:
1 Na 0.250 0.000 0.250 (multiplicity 4)
2 Sr 0.000 0.245 0.255 (multiplicity 8)
3 Sr 0.245 0.000 0.745 (multiplicity 4)
4 Rh 0.000 0.000 0.500 (multiplicity 2)

Summary:
The formation energy is -0.109 eV/atom.



4.
The following is a PBE calculation of an optimized crystal structure of EuAgAs2, from the Alexandria database.

abc: 4.579 4.579 4.086
angles: 90.00 90.00 90.00
Space group P4/mmm (No. 123)
One atom of each set of equivalent atoms:
1 Eu 0.000 0.000 0.000 (multiplicity 1)
2 Ag 0.500 0.500 0.000 (multiplicity 1)
3 As 0.000 0.500 0.500 (multiplicity 2)

Summary:
The formation energy is -0.458 eV/atom.